Record 1
## CsMn2InI6 (PBE)

Data for a relaxed CsMn2InI6 crystal.

It has space group C2/c (No. 15), with a = 16.090 Å, b = 14.684 Å, c = 8.472 Å, α = 90.00°, β = 105.59° and γ = 90.00°. Symmetry generates all atoms from Cs at (0.000, 0.187, 0.250), Mn at (0.213, 0.087, 0.756), In at (0.000, 0.395, 0.750), I at (0.115, 0.419, 0.160), I at (0.138, 0.031, 0.000) and I at (0.157, 0.254, 0.671).


Record 2
## Cs2MnInI6 (PBE)

Data for a relaxed Cs2MnInI6 crystal.

It has space group Fm-3m (No. 225), with a = 12.020 Å, b = 12.020 Å, c = 12.020 Å, α = 90.00°, β = 90.00° and γ = 90.00°. Symmetry generates all atoms from Cs at (0.250, 0.250, 0.250), Mn at (0.000, 0.000, 0.000), In at (0.000, 0.000, 0.500) and I at (0.000, 0.000, 0.239).

The density of states at the Fermi level is 3.192 states/eV/f.u.


Record 3
## CsMn2InI8 (PBE)

Data for a relaxed CsMn2InI8 crystal.

It has space group R-3 (No. 148, hexagonal axes), with a = 7.4441 Å, b = 7.4441 Å, c = 33.7082 Å, α = 90.00°, β = 90.00° and γ = 120.00°. Symmetry generates all atoms from Cs at (0.0000, 0.0000, 0.0000), Mn at (0.0000, 0.0000, 0.2417), In at (0.0000, 0.0000, 0.5000), I at (0.0000, 0.0000, 0.3195) and I at (0.0019, 0.3512, 0.2188).


Values for DFT total energy, eV/atom, ordered as above
-3.7912, -3.1766, -3.4693